[1]
Below is a relaxed CuBi2TeRu crystal, with properties calculated at the PBE-GGA level.

Values from the calculation:
- Energy: -4.136 eV/atom
- Formation energy from raw total energies: 0.7187 eV per atom
- Space group: P4/mmm, No. 123
- V: 144 Å³/cell

```
data_CuBi2TeRu
_cell_length_a 5.328
_cell_length_b 5.076
_cell_length_c 5.328
_cell_angle_alpha 90.00
_cell_angle_beta 90.00
_cell_angle_gamma 90.00
_symmetry_space_group_name_H-M 'P 1'
_symmetry_Int_Tables_number 1
_symmetry_space_group_name_Hall 'P 1'
loop_
_atom_site_label
_atom_site_fract_x
_atom_site_fract_y
_atom_site_fract_z
Cu1 0.500 0.500 0.500
Te1 0.000 0.500 0.000
Ru1 0.000 0.000 0.000
Bi1 0.500 0.000 0.000
Bi2 0.000 0.000 0.500
```

=====

[2]
Below is a relaxed Ca6Ir crystal, with properties calculated at the PBE-GGA level.

Values from the calculation:
- Energy: -3.166 eV/atom
- Space group: Pnma, No. 62
- Energy of formation: -184 meV per atom
- V: 1058 Å³/cell

```
data_Ca6Ir
_cell_length_a 6.842
_cell_length_b 11.878
_cell_length_c 13.015
_cell_angle_alpha 90.00
_cell_angle_beta 90.00
_cell_angle_gamma 90.00
_symmetry_space_group_name_H-M 'P 1'
_symmetry_Int_Tables_number 1
_symmetry_space_group_name_Hall 'P 1'
loop_
_atom_site_label
_atom_site_fract_x
_atom_site_fract_y
_atom_site_fract_z
Ca1 0.418 0.586 0.752
Ca2 0.248 0.416 0.504
Ca3 0.748 0.916 0.996
Ca4 0.255 0.750 0.997
Ca5 0.755 0.250 0.503
Ca6 0.752 0.584 0.496
Ca7 0.082 0.586 0.252
Ca8 0.918 0.414 0.748
Ca9 0.252 0.416 0.004
Ca10 0.252 0.084 0.004
Ca11 0.589 0.750 0.250
Ca12 0.745 0.250 0.003
Ca13 0.911 0.750 0.750
Ca14 0.582 0.414 0.248
Ca15 0.918 0.086 0.748
Ca16 0.089 0.250 0.250
Ca17 0.248 0.084 0.504
Ca18 0.582 0.086 0.248
Ca19 0.411 0.250 0.750
Ca20 0.418 0.914 0.752
Ca21 0.082 0.914 0.252
Ca22 0.748 0.584 0.996
Ca23 0.245 0.750 0.497
Ca24 0.752 0.916 0.496
Ir1 0.584 0.750 0.875
Ir2 0.084 0.250 0.625
Ir3 0.916 0.750 0.375
Ir4 0.416 0.250 0.125
```

=====

[3]
Below is a relaxed Hf3BSb crystal, with properties calculated at the PBE-GGA level.

Values from the calculation:
- Energy: -8.450 eV/atom
- Formation energy from raw total energies: -0.3180 eV per atom
- Space group: Pm-3m, No. 221
- ΔE to the lowest computed polymorph: 0.083 eV per atom
- V: 97 Å³/cell

```
data_Hf3BSb
_cell_length_a 4.592
_cell_length_b 4.592
_cell_length_c 4.592
_cell_angle_alpha 90.00
_cell_angle_beta 90.00
_cell_angle_gamma 90.00
_symmetry_space_group_name_H-M 'P 1'
_symmetry_Int_Tables_number 1
_symmetry_space_group_name_Hall 'P 1'
loop_
_atom_site_label
_atom_site_fract_x
_atom_site_fract_y
_atom_site_fract_z
Hf1 0.000 0.500 0.000
Hf2 0.000 0.000 0.500
Hf3 0.500 0.000 0.000
Sb1 0.500 0.500 0.500
B1 0.000 0.000 0.000
```

=====

[4]
Below is a relaxed KAg2Os crystal, with properties calculated at the PBE-GGA level.

Values from the calculation:
- Energy: -3.728 eV/atom
- Space group: P4mm, No. 99
- Energy of formation: 780 meV per atom
- ΔE to the lowest computed polymorph: 0.049 eV per atom
- V: 78 Å³/cell

```
data_KAg2Os
_cell_length_a 2.776
_cell_length_b 2.776
_cell_length_c 10.146
_cell_angle_alpha 90.00
_cell_angle_beta 90.00
_cell_angle_gamma 90.00
_symmetry_space_group_name_H-M 'P 1'
_symmetry_Int_Tables_number 1
_symmetry_space_group_name_Hall 'P 1'
loop_
_atom_site_label
_atom_site_fract_x
_atom_site_fract_y
_atom_site_fract_z
Ag1 0.500 0.500 0.216
Ag2 0.000 0.000 0.992
Os1 0.500 0.500 0.780
K1 0.000 0.000 0.512
```

=====

[5]
Below is a relaxed La4PmTm3 crystal, with properties calculated at the PBE-GGA level.

Values from the calculation:
- Energy: -4.703 eV/atom
- Space group: Pmmn, No. 59
- Energy of formation: 32 meV per atom
- V: 544 Å³/cell

```
data_La4PmTm3
_cell_length_a 5.152
_cell_length_b 10.252
_cell_length_c 10.299
_cell_angle_alpha 90.00
_cell_angle_beta 90.00
_cell_angle_gamma 90.00
_symmetry_space_group_name_H-M 'P 1'
_symmetry_Int_Tables_number 1
_symmetry_space_group_name_Hall 'P 1'
loop_
_atom_site_label
_atom_site_fract_x
_atom_site_fract_y
_atom_site_fract_z
Tm1 0.564 0.384 0.250
Tm2 0.564 0.384 0.750
Tm3 0.064 0.616 0.750
Tm4 0.064 0.616 0.250
Tm5 0.064 0.383 0.500
Tm6 0.564 0.617 0.000
La1 0.564 0.872 0.250
La2 0.064 0.870 0.000
La3 0.064 0.128 0.250
La4 0.564 0.130 0.500
La5 0.564 0.872 0.750
La6 0.564 0.128 0.000
La7 0.064 0.872 0.500
La8 0.064 0.128 0.750
Pm1 0.564 0.616 0.500
Pm2 0.064 0.384 0.000
```

=====

[6]
Below is a relaxed MnGaB crystal, with properties calculated at the PBE-GGA level.

Values from the calculation:
- Energy: -6.596 eV/atom
- Space group: Cmmm, No. 65
- Energy of formation: -304 meV per atom
- V: 66 Å³/cell

```
data_MnGaB
_cell_length_a 3.996
_cell_length_b 2.823
_cell_length_c 8.420
_cell_angle_alpha 89.98
_cell_angle_beta 96.81
_cell_angle_gamma 45.10
_symmetry_space_group_name_H-M 'P 1'
_symmetry_Int_Tables_number 1
_symmetry_space_group_name_Hall 'P 1'
loop_
_atom_site_label
_atom_site_fract_x
_atom_site_fract_y
_atom_site_fract_z
Mn1 0.175 0.340 0.856
Mn2 0.537 0.978 0.578
B1 0.636 0.379 0.776
B2 0.077 0.938 0.657
Ga1 0.931 0.085 0.367
Ga2 0.781 0.233 0.067
```